# MgSbPb2

A relaxed MgSbPb2 crystal (GGA-PBE, Alexandria).

a = 3.386 Å, b = 3.386 Å, c = 9.850 Å
α = 90.00°, β = 90.00°, γ = 90.00°
Space group P4/mmm (No. 123)
One atom of each set of equivalent atoms:
Mg (0.000, 0.000, 0.000) [1 per cell]
Sb (0.000, 0.000, 0.500) [1 per cell]
Pb (0.500, 0.500, 0.232) [2 per cell]

## Properties
Polymorph energy (0 for the lowest one) = 100 meV/atom
Raw total energy = -3.216 eV per atom
E_form (uncorrected) = 0.068 eV per atom
Density of states at the Fermi level = 1.934 states/eV/f.u.